PBE-GGA NbBiSe2, optimized geometry; V = 24.80 A^3/atom; ΔE_f (raw) = -0.56 eV per atom; calculated total energy = -5.787 eV per atom; DOS at the Fermi energy = 0.638 states/eV/atom
1.0
1.743 1.006 9.425
-1.743 1.006 9.425
0.000 -2.013 9.425
Nb Bi Se
1 1 2
Direct
0.000 0.000 0.000
0.500 0.500 0.500
0.393 0.393 0.393
0.607 0.607 0.607